(1)
Density functional theory data (PBE) for Ho2TmPaSb4 after structural relaxation.

The density of states at the Fermi level comes out at 6.4 states/eV per cell. The mass density comes out at 8.625 g/cm3. The uncorrected formation energy comes out at -930 meV/atom. As for the total magnetization: 0.87 μB/f.u.

```
Ho2TmPaSb4
1.0
7.544 0.000 0.000
0.000 4.358 0.000
-2.507 0.000 7.126
Ho Tm Pa Sb
2 1 1 4
direct
0.000 0.000 0.000
0.500 0.500 0.000
0.000 0.500 0.500
0.500 0.000 0.500
0.248 0.500 0.249
0.249 0.000 0.748
0.751 0.000 0.252
0.752 0.500 0.751
```

(2)
Density functional theory data (PBE) for Sm3HPb after structural relaxation.

The density of states at the Fermi level comes out at 6.2 states/eV per cell. The mass density comes out at 9.061 g/cm3. The value obtained for the distance to the lowest polymorph of the same formula is 3.7 meV/atom. As for the total magnetization: 0.00 μB/f.u.

```
Sm3HPb
1.0
4.944 0.000 0.000
0.000 4.944 0.000
0.000 0.000 4.944
Sm H Pb
3 1 1
direct
0.000 0.000 0.500
0.000 0.500 0.000
0.500 0.000 0.000
0.000 0.000 0.000
0.500 0.500 0.500
```